# 1
First-principles (PBE) data for Pr2UPdSe5 after structural relaxation, as listed in Alexandria via LeMat-Bulk.

Geometry as extended XYZ:
```
18
Lattice="2.0334 -8.6778 0.0000 2.0334 8.6778 0.0000 0.0000 0.0000 12.6930" Properties=species:S:1:pos:R:3 pbc="T T T"
Pr 2.0334 6.9034 6.3465
Pr 2.0334 6.5699 10.7357
Pr 2.0334 -6.5699 4.3892
Pr 2.0334 -6.9034 0.0000
U 2.0334 5.6007 2.1504
U 2.0334 -5.6007 8.4969
Pd 2.0334 1.0074 7.2023
Pd 2.0334 -1.0074 0.8558
Se 2.0334 8.3859 2.2148
Se 2.0334 3.4576 6.4440
Se 2.0334 3.3683 10.5400
Se 2.0334 2.7250 2.1277
Se 2.0334 0.0464 11.2639
Se 2.0334 -0.0464 4.9174
Se 2.0334 -2.7250 8.4742
Se 2.0334 -3.3683 4.1936
Se 2.0334 -3.4576 0.0975
Se 2.0334 -8.3859 8.5613
```

Computed properties:
Formation energy without anion corrections in kJ per mole of atoms: -135.2
Space group: No. 36

=====

# 2
First-principles (PBE) data for YSi2Os after structural relaxation, as listed in Alexandria via LeMat-Bulk.

Geometry as extended XYZ:
```
8
Lattice="3.9769 0.0000 0.0000 0.0000 3.9769 0.0000 0.0000 0.0000 8.5101" Properties=species:S:1:pos:R:3 pbc="T T T"
Y 0.0000 0.0000 0.0000
Y 1.9885 1.9885 4.2550
Si 0.0000 0.0000 4.2550
Si 0.0000 1.9885 2.1275
Si 1.9885 0.0000 6.3826
Si 1.9885 1.9885 0.0000
Os 0.0000 1.9885 6.3826
Os 1.9885 0.0000 2.1275
```

Computed properties:
Formation energy without anion corrections in kJ per mole of atoms: 1.4
Space group: No. 119